DFT (GGA-PBE) results for a geometry-optimized YMo2Os structure.

Its calculated formation energy is 1.20 eV per formula unit. The energy above the lowest structure with this stoichiometry comes out at 11.3 kJ per mole of atoms.

The space group is Pm (No. 6) and the conventional cell measures 2.977, 4.252 and 5.914 Å, with angles of 90.00, 102.69 and 90.00 degrees. The asymmetric unit holds Y at (0.000, 0.000, 0.000), Mo at (0.519, 0.000, 0.508), Mo at (0.707, 0.500, 0.303) and Os at (0.284, 0.500, 0.714).


DFT (GGA-PBE) results for a geometry-optimized TlSnHg structure.

Its calculated formation energy is 0.17 eV per formula unit. The energy above the lowest structure with this stoichiometry comes out at 1.8 kJ per mole of atoms.

The space group is I4mm (No. 107) and the conventional cell measures 3.640, 3.640 and 12.614 Å, with angles of 90.00, 90.00 and 90.00 degrees. The asymmetric unit holds Tl at (0.000, 0.000, 0.000), Sn at (0.000, 0.000, 0.318) and Hg at (0.000, 0.000, 0.667).


DFT (GGA-PBE) results for a geometry-optimized Sb2PbAu structure.

The value obtained for the uncorrected formation energy is 1.4 meV per atom.

The space group is R-3m (No. 166, hexagonal axes) and the conventional cell measures 4.1804, 4.1804 and 21.9866 Å, with angles of 90.00, 90.00 and 120.00 degrees. The asymmetric unit holds Sb at (0.0000, 0.0000, 0.2346), Pb at (0.0000, 0.0000, 0.0000) and Au at (0.0000, 0.0000, 0.5000).


DFT (GGA-PBE) results for a geometry-optimized AcNd2Ge4 structure.

Its calculated formation energy is -5.29 eV per formula unit.

The space group is Immm (No. 71) and the conventional cell measures 4.164, 4.581 and 18.768 Å, with angles of 90.00, 90.00 and 90.00 degrees. The asymmetric unit holds Ac at (0.000, 0.000, 0.000), Nd at (0.000, 0.500, 0.319), Ge at (0.000, 0.000, 0.431) and Ge at (0.000, 0.500, 0.157).


DFT (GGA-PBE) results for a geometry-optimized PrBe3H9 structure.

As for the total energy: -3.71 eV per atom.

The space group is C222_1 (No. 20) and the conventional cell measures 7.758, 10.108 and 6.803 Å, with angles of 90.00, 90.00 and 90.00 degrees. The asymmetric unit holds Pr at (0.148, 0.000, 0.000), Be at (0.018, 0.336, 0.060), Be at (0.248, 0.000, 0.500), H at (0.000, 0.403, 0.250), H at (0.042, 0.198, 0.066), H at (0.122, 0.023, 0.656), H at (0.129, 0.365, 0.553) and H at (0.165, 0.383, 0.951).


DFT (GGA-PBE) results for a geometry-optimized Rb2NbTlF8 structure.

The value obtained for the uncorrected formation energy is -2654.8 meV per atom.

The space group is P-3m1 (No. 164) and the conventional cell measures 5.3301, 5.3301 and 9.8171 Å, with angles of 90.00, 90.00 and 120.00 degrees. The asymmetric unit holds Rb at (0.3333, 0.6667, 0.2130), Nb at (0.0000, 0.0000, 0.5000), Tl at (0.0000, 0.0000, 0.0000), F at (0.1662, 0.3324, 0.6197) and F at (0.3333, 0.6667, 0.9384).


DFT (GGA-PBE) results for a geometry-optimized K2ZrAg structure.

Its calculated formation energy is 3.71 eV per formula unit. The energy above the lowest structure with this stoichiometry comes out at 51.4 kJ per mole of atoms.

The space group is I-42d (No. 122) and the conventional cell measures 10.502, 10.502 and 5.820 Å, with angles of 90.00, 90.00 and 90.00 degrees. The asymmetric unit holds K at (0.167, 0.750, 0.125), Zr at (0.000, 0.000, 0.500) and Ag at (0.000, 0.000, 0.000).


DFT (GGA-PBE) results for a geometry-optimized LiMg2P structure.

Its calculated formation energy is -0.89 eV per formula unit.

The space group is Immm (No. 71) and the conventional cell measures 3.269, 4.081 and 12.255 Å, with angles of 90.00, 90.00 and 90.00 degrees. The asymmetric unit holds Li at (0.000, 0.000, 0.000), Mg at (0.000, 0.500, 0.170) and P at (0.000, 0.000, 0.500).


DFT (GGA-PBE) results for a geometry-optimized ErInPd14 structure.

Its calculated formation energy is -5.09 eV per formula unit.

The space group is P4/mmm (No. 123) and the conventional cell measures 5.702, 5.702 and 7.948 Å, with angles of 90.00, 90.00 and 90.00 degrees. The asymmetric unit holds Er at (0.000, 0.000, 0.000), In at (0.500, 0.500, 0.000), Pd at (0.000, 0.000, 0.500), Pd at (0.000, 0.500, 0.000), Pd at (0.000, 0.500, 0.500), Pd at (0.251, 0.251, 0.255) and Pd at (0.500, 0.500, 0.500).


DFT (GGA-PBE) results for a geometry-optimized Li5AlSn4 structure.

Its calculated formation energy is -2.69 eV per formula unit.

The space group is P4/mmm (No. 123) and the conventional cell measures 3.298, 3.298 and 17.865 Å, with angles of 90.00, 90.00 and 90.00 degrees. The asymmetric unit holds Li at (0.000, 0.000, 0.000), Li at (0.000, 0.000, 0.212), Li at (0.000, 0.000, 0.416), Al at (0.500, 0.500, 0.500), Sn at (0.500, 0.500, 0.103) and Sn at (0.500, 0.500, 0.318).


DFT (GGA-PBE) results for a geometry-optimized MnZn2Tc structure.

Its calculated formation energy is 0.41 eV per formula unit. The energy above the lowest structure with this stoichiometry comes out at 9.4 kJ per mole of atoms.

The space group is Cm (No. 8) and the conventional cell measures 8.767, 2.648 and 4.786 Å, with angles of 90.00, 97.89 and 90.00 degrees. The asymmetric unit holds Mn at (0.000, 0.000, 0.000), Zn at (0.000, 0.500, 0.507), Zn at (0.247, 0.500, 0.285) and Tc at (0.251, 0.000, 0.795).


DFT (GGA-PBE) results for a geometry-optimized ThPaPb2 structure.

Its calculated formation energy is -0.20 eV per formula unit. The energy above the lowest structure with this stoichiometry comes out at 0.0 kJ per mole of atoms.

The space group is P4/mmm (No. 123) and the conventional cell measures 3.553, 3.553 and 9.096 Å, with angles of 90.00, 90.00 and 90.00 degrees. The asymmetric unit holds Th at (0.000, 0.000, 0.000), Pa at (0.000, 0.000, 0.500) and Pb at (0.500, 0.500, 0.256).